# PBE CaErTm, relaxed
data_CaErTm
_cell_length_a 3.571
_cell_length_b 3.571
_cell_length_c 9.058
_cell_angle_alpha 90.00
_cell_angle_beta 90.00
_cell_angle_gamma 120.00
_space_group_name_H-M_alt 'P 1'
_space_group_IT_number 1
loop_
_space_group_symop_operation_xyz
'x,y,z'
loop_
_atom_site_label
_atom_site_type_symbol
_atom_site_fract_x
_atom_site_fract_y
_atom_site_fract_z
Er1 Er 0.333 0.667 0.650
Tm1 Tm 0.667 0.333 0.349
Ca1 Ca 0.000 0.000 0.001
# **ΔH_f (0 K)**: 0.29 eV/f.u.
# **Total magnetization**: 0.1100 μB/atom
# **Polymorph energy (0 for the lowest one)**: 18 meV/atom



# PBE K3CaZn, relaxed
data_K3CaZn
_cell_length_a 7.747
_cell_length_b 7.747
_cell_length_c 7.747
_cell_angle_alpha 90.00
_cell_angle_beta 90.00
_cell_angle_gamma 90.00
_space_group_name_H-M_alt 'P 1'
_space_group_IT_number 1
loop_
_space_group_symop_operation_xyz
'x,y,z'
loop_
_atom_site_label
_atom_site_type_symbol
_atom_site_fract_x
_atom_site_fract_y
_atom_site_fract_z
Zn1 Zn 0.500 0.500 0.500
K1 K 0.500 0.000 0.000
K2 K 0.000 0.500 0.000
K3 K 0.000 0.000 0.500
Ca1 Ca 0.000 0.000 0.000
# **ΔH_f (0 K)**: 2.87 eV/f.u.
# **Total magnetization**: 0.0000 μB/atom
# **Polymorph energy (0 for the lowest one)**: 308 meV/atom



# PBE Ba2RuPtN, relaxed
data_Ba2RuPtN
_cell_length_a 5.756
_cell_length_b 5.756
_cell_length_c 3.791
_cell_angle_alpha 90.00
_cell_angle_beta 90.00
_cell_angle_gamma 90.00
_space_group_name_H-M_alt 'P 1'
_space_group_IT_number 1
loop_
_space_group_symop_operation_xyz
'x,y,z'
loop_
_atom_site_label
_atom_site_type_symbol
_atom_site_fract_x
_atom_site_fract_y
_atom_site_fract_z
Pt1 Pt 0.500 0.500 0.500
N1 N 0.000 0.000 0.000
Ru1 Ru 0.000 0.000 0.500
Ba1 Ba 0.500 0.000 0.000
Ba2 Ba 0.000 0.500 0.000
# **E_form (uncorrected)**: -0.34 eV per atom
# **Total magnetization**: 0.0000 μB/atom



# PBE CeSmTm2Bi4, relaxed
data_CeSmTm2Bi4
_cell_length_a 4.515
_cell_length_b 7.791
_cell_length_c 7.814
_cell_angle_alpha 70.50
_cell_angle_beta 90.00
_cell_angle_gamma 90.00
_space_group_name_H-M_alt 'P 1'
_space_group_IT_number 1
loop_
_space_group_symop_operation_xyz
'x,y,z'
loop_
_atom_site_label
_atom_site_type_symbol
_atom_site_fract_x
_atom_site_fract_y
_atom_site_fract_z
Tm1 Tm 0.500 0.000 0.500
Tm2 Tm 0.000 0.000 0.000
Sm1 Sm 0.000 0.500 0.500
Bi1 Bi 0.500 0.241 0.753
Bi2 Bi 0.000 0.240 0.254
Bi3 Bi 0.500 0.759 0.247
Bi4 Bi 0.000 0.760 0.746
Ce1 Ce 0.500 0.500 0.000
# **ΔH_f (0 K)**: -6.56 eV/f.u.
# **Total magnetization**: 0.1010 μB/atom



# PBE Ho8GaRu2, relaxed
data_Ho8GaRu2
_cell_length_a 5.441
_cell_length_b 7.762
_cell_length_c 7.762
_cell_angle_alpha 112.57
_cell_angle_beta 97.91
_cell_angle_gamma 97.91
_space_group_name_H-M_alt 'P 1'
_space_group_IT_number 1
loop_
_space_group_symop_operation_xyz
'x,y,z'
loop_
_atom_site_label
_atom_site_type_symbol
_atom_site_fract_x
_atom_site_fract_y
_atom_site_fract_z
Ho1 Ho 0.414 0.673 0.937
Ho2 Ho 0.414 0.937 0.673
Ho3 Ho 0.586 0.333 0.070
Ho4 Ho 0.804 0.626 0.626
Ho5 Ho 0.000 0.763 0.243
Ho6 Ho 0.000 0.243 0.763
Ho7 Ho 0.586 0.070 0.333
Ho8 Ho 0.196 0.380 0.380
Ga1 Ga 0.002 0.003 0.003
Ru1 Ru 0.500 0.690 0.316
Ru2 Ru 0.500 0.316 0.690
# **ΔH_f (0 K)**: -2.75 eV/f.u.
# **Total magnetization**: 0.0000 μB/atom



# PBE HoPu2ThP4, relaxed
data_HoPu2ThP4
_cell_length_a 4.057
_cell_length_b 7.009
_cell_length_c 6.952
_cell_angle_alpha 109.67
_cell_angle_beta 90.00
_cell_angle_gamma 90.00
_space_group_name_H-M_alt 'P 1'
_space_group_IT_number 1
loop_
_space_group_symop_operation_xyz
'x,y,z'
loop_
_atom_site_label
_atom_site_type_symbol
_atom_site_fract_x
_atom_site_fract_y
_atom_site_fract_z
P1 P 0.000 0.242 0.742
P2 P 0.000 0.758 0.258
P3 P 0.500 0.752 0.744
P4 P 0.500 0.248 0.256
Pu1 Pu 0.500 0.000 0.500
Pu2 Pu 0.000 0.500 0.500
Ho1 Ho 0.000 0.000 0.000
Th1 Th 0.500 0.500 0.000
# **ΔH_f (0 K)**: -11.03 eV/f.u.
# **Total magnetization**: 1.2795 μB/atom



# PBE TaIn2GeBr, relaxed
data_TaIn2GeBr
_cell_length_a 5.368
_cell_length_b 5.199
_cell_length_c 5.368
_cell_angle_alpha 90.00
_cell_angle_beta 90.00
_cell_angle_gamma 90.00
_space_group_name_H-M_alt 'P 1'
_space_group_IT_number 1
loop_
_space_group_symop_operation_xyz
'x,y,z'
loop_
_atom_site_label
_atom_site_type_symbol
_atom_site_fract_x
_atom_site_fract_y
_atom_site_fract_z
Br1 Br 0.000 0.500 0.000
Ta1 Ta 0.500 0.500 0.500
Ge1 Ge 0.000 0.000 0.000
In1 In 0.000 0.000 0.500
In2 In 0.500 0.000 0.000
# **E_form (uncorrected)**: 1.20 eV per atom
# **Total magnetization**: 0.7226 μB/atom



# PBE GePbI2N, relaxed
data_GePbI2N
_cell_length_a 6.283
_cell_length_b 6.283
_cell_length_c 4.509
_cell_angle_alpha 90.00
_cell_angle_beta 90.00
_cell_angle_gamma 90.00
_space_group_name_H-M_alt 'P 1'
_space_group_IT_number 1
loop_
_space_group_symop_operation_xyz
'x,y,z'
loop_
_atom_site_label
_atom_site_type_symbol
_atom_site_fract_x
_atom_site_fract_y
_atom_site_fract_z
I1 I 0.500 0.000 0.000
I2 I 0.000 0.500 0.000
N1 N 0.000 0.000 0.500
Pb1 Pb 0.000 0.000 0.000
Ge1 Ge 0.500 0.500 0.500
# **E_form (uncorrected)**: 1.02 eV per atom
# **Total magnetization**: 0.0000 μB/atom
# **Polymorph energy (0 for the lowest one)**: 659 meV/atom



Number 1: E -10.75 eV per cell. Number 2: E -3.70 eV per cell. Number 3: E -29.19 eV per cell. Number 4: E -41.68 eV per cell. Number 5: E -60.95 eV per cell. Number 6: E -73.33 eV per cell. Number 7: E -17.63 eV per cell. Number 8: E -14.64 eV per cell.